Entry from Alexandria: CoCuBrF2 after structural relaxation (PBE+U).

The value obtained for the raw total energy is -2.63 eV per atom. The value obtained for the density of states at the Fermi level is 0.3885 states/eV/atom. Its total magnetization is 1.919 μB/f.u.

The structure belongs to space group P4/mmm (No. 123); the cell edges are 4.5389, 4.5389 and 4.6064 Å and the angles 90.00°, 90.00° and 90.00°. Symmetry generates all atoms from Co at (0.0000, 0.0000, 0.0000), Cu at (0.5000, 0.5000, 0.0000), Br at (0.0000, 0.0000, 0.5000) and F at (0.0000, 0.5000, 0.5000).